No. 1
A plane-wave DFT calculation with PBE was carried out for crystalline Al2VIr at its relaxed geometry.

Unit cell a=3.934 b=3.934 c=3.671 alpha=90.00 beta=90.00 gamma=90.00
Element x y z (fractional)
Al: 0.000 0.500 0.000
Al: 0.500 0.000 0.000
V: 0.000 0.000 0.500
Ir: 0.500 0.500 0.500

Output
The total energy comes out at -27.43 eV per cell. The value obtained for the density is 8.69 Mg/m³. As for the total magnetization: 0.00 μB per cell. The calculation puts the energy relative to the elements at -491 meV per atom.

No. 2
A plane-wave DFT calculation with PBE was carried out for crystalline AlVIr at its relaxed geometry.

Unit cell a=2.892 b=2.892 c=10.012 alpha=90.00 beta=90.00 gamma=90.00
Element x y z (fractional)
Al: 0.000 0.000 0.000
Al: 0.500 0.500 0.500
V: 0.000 0.000 0.673
V: 0.500 0.500 0.173
Ir: 0.000 0.000 0.336
Ir: 0.500 0.500 0.836

Output
The total energy comes out at -46.92 eV per cell. The value obtained for the density is 10.72 Mg/m³. As for the total magnetization: 0.00 μB per cell. The calculation puts the energy relative to the elements at -579 meV per atom.

No. 3
A plane-wave DFT calculation with PBE was carried out for crystalline Al4VIr at its relaxed geometry.

Unit cell a=4.037 b=4.037 c=6.509 alpha=90.00 beta=90.00 gamma=90.00
Element x y z (fractional)
Al: 0.000 0.500 0.237
Al: 0.000 0.500 0.763
Al: 0.500 0.000 0.237
Al: 0.500 0.000 0.763
V: 0.000 0.000 0.500
Ir: 0.500 0.500 0.000

Output
The total energy comes out at -33.75 eV per cell. The value obtained for the density is 5.50 Mg/m³. As for the total magnetization: 0.00 μB per cell. The calculation puts the energy relative to the elements at -133 meV per atom.

No. 4
A plane-wave DFT calculation with PBE was carried out for crystalline Al2VIr2 at its relaxed geometry.

Unit cell a=7.225 b=7.225 c=2.859 alpha=90.00 beta=90.00 gamma=90.00
Element x y z (fractional)
Al: 0.153 0.347 0.000
Al: 0.347 0.847 0.000
Al: 0.653 0.153 0.000
Al: 0.847 0.653 0.000
V: 0.000 0.000 0.500
V: 0.500 0.500 0.500
Ir: 0.145 0.645 0.500
Ir: 0.355 0.145 0.500
Ir: 0.645 0.855 0.500
Ir: 0.855 0.355 0.500

Output
The total energy comes out at -73.36 eV per cell. The value obtained for the density is 10.89 Mg/m³. As for the total magnetization: 3.35 μB per cell. The calculation puts the energy relative to the elements at -471 meV per atom.

No. 5
A plane-wave DFT calculation with PBE was carried out for crystalline AlV2ZnIr at its relaxed geometry.

Unit cell a=4.412 b=4.412 c=4.540 alpha=90.00 beta=90.00 gamma=90.00
Element x y z (fractional)
Al: 0.000 0.000 0.000
V: 0.000 0.500 0.500
V: 0.500 0.000 0.500
Zn: 0.500 0.500 0.500
Ir: 0.500 0.500 0.000

Output
The total energy comes out at -26.76 eV per cell. The value obtained for the density is 7.26 Mg/m³. As for the total magnetization: 1.70 μB per cell. The calculation puts the energy relative to the elements at 1071 meV per atom.

No. 6
A plane-wave DFT calculation with PBE was carried out for crystalline AlIr2W at its relaxed geometry.

Unit cell a=2.835 b=2.835 c=25.587 alpha=90.00 beta=90.00 gamma=120.00
Element x y z (fractional)
Al: 0.000 0.000 0.000
Al: 0.333 0.667 0.667
Al: 0.667 0.333 0.333
Ir: 0.000 0.000 0.252
Ir: 0.000 0.000 0.748
Ir: 0.333 0.667 0.414
Ir: 0.333 0.667 0.919
Ir: 0.667 0.333 0.081
Ir: 0.667 0.333 0.586
W: 0.000 0.000 0.500
W: 0.333 0.667 0.167
W: 0.667 0.333 0.833

Output
The total energy comes out at -107.32 eV per cell. The value obtained for the density is 16.66 Mg/m³. As for the total magnetization: 0.00 μB per cell. The calculation puts the energy relative to the elements at -339 meV per atom.

No. 7
A plane-wave DFT calculation with PBE was carried out for crystalline AlIrW at its relaxed geometry.

Unit cell a=2.819 b=2.819 c=6.605 alpha=90.00 beta=90.00 gamma=120.00
Element x y z (fractional)
Al: 0.000 0.000 0.000
Ir: 0.333 0.667 0.323
W: 0.667 0.333 0.654

Output
The total energy comes out at -26.10 eV per cell. The value obtained for the density is 14.72 Mg/m³. As for the total magnetization: 0.00 μB per cell. The calculation puts the energy relative to the elements at -180 meV per atom.

No. 8
A plane-wave DFT calculation with PBE was carried out for crystalline AlIr2W at its relaxed geometry.

Unit cell a=2.866 b=2.866 c=7.193 alpha=90.00 beta=90.00 gamma=90.00
Element x y z (fractional)
Al: 0.000 0.000 0.000
Ir: 0.000 0.000 0.491
Ir: 0.500 0.500 0.211
W: 0.500 0.500 0.737

Output
The total energy comes out at -35.48 eV per cell. The value obtained for the density is 16.73 Mg/m³. As for the total magnetization: 0.00 μB per cell. The calculation puts the energy relative to the elements at -265 meV per atom.

No. 9
A plane-wave DFT calculation with PBE was carried out for crystalline AlIr2W at its relaxed geometry.

Unit cell a=2.813 b=4.462 c=4.744 alpha=90.00 beta=90.00 gamma=90.00
Element x y z (fractional)
Al: 0.000 0.000 0.000
Ir: 0.500 0.000 0.531
Ir: 0.500 0.500 0.912
W: 0.000 0.500 0.387

Output
The total energy comes out at -36.04 eV per cell. The value obtained for the density is 16.60 Mg/m³. As for the total magnetization: 0.00 μB per cell. The calculation puts the energy relative to the elements at -405 meV per atom.

No. 10
A plane-wave DFT calculation with PBE was carried out for crystalline AlIrW at its relaxed geometry.

Unit cell a=2.877 b=2.877 c=10.680 alpha=90.00 beta=90.00 gamma=90.00
Element x y z (fractional)
Al: 0.000 0.000 0.000
Al: 0.500 0.500 0.500
Ir: 0.000 0.000 0.654
Ir: 0.500 0.500 0.154
W: 0.000 0.000 0.325
W: 0.500 0.500 0.825

Output
The total energy comes out at -53.67 eV per cell. The value obtained for the density is 15.14 Mg/m³. As for the total magnetization: 0.00 μB per cell. The calculation puts the energy relative to the elements at -426 meV per atom.

No. 11
A plane-wave DFT calculation with PBE was carried out for crystalline AlIrW at its relaxed geometry.

Unit cell a=2.828 b=3.762 c=8.414 alpha=90.00 beta=90.00 gamma=90.00
Element x y z (fractional)
Al: 0.000 0.000 0.000
Al: 0.500 0.500 0.500
Ir: 0.000 0.000 0.660
Ir: 0.500 0.500 0.160
W: 0.000 0.000 0.328
W: 0.500 0.500 0.828

Output
The total energy comes out at -52.58 eV per cell. The value obtained for the density is 14.95 Mg/m³. As for the total magnetization: 0.00 μB per cell. The calculation puts the energy relative to the elements at -245 meV per atom.

No. 12
A plane-wave DFT calculation with PBE was carried out for crystalline AlIr2W at its relaxed geometry.

Unit cell a=2.820 b=3.759 c=5.586 alpha=90.00 beta=90.00 gamma=90.00
Element x y z (fractional)
Al: 0.000 0.000 0.000
Ir: 0.500 0.500 0.250
Ir: 0.500 0.500 0.750
W: 0.000 0.000 0.500

Output
The total energy comes out at -36.17 eV per cell. The value obtained for the density is 16.69 Mg/m³. As for the total magnetization: 0.00 μB per cell. The calculation puts the energy relative to the elements at -438 meV per atom.

No. 13
A plane-wave DFT calculation with PBE was carried out for crystalline AlIr2W at its relaxed geometry.

Unit cell a=3.996 b=3.996 c=7.426 alpha=90.00 beta=90.00 gamma=90.00
Element x y z (fractional)
Al: 0.000 0.000 0.000
Al: 0.500 0.500 0.500
Ir: 0.000 0.500 0.250
Ir: 0.000 0.500 0.750
Ir: 0.500 0.000 0.250
Ir: 0.500 0.000 0.750
W: 0.000 0.000 0.500
W: 0.500 0.500 0.000

Output
The total energy comes out at -71.85 eV per cell. The value obtained for the density is 16.68 Mg/m³. As for the total magnetization: 1.13 μB per cell. The calculation puts the energy relative to the elements at -377 meV per atom.

No. 14
A plane-wave DFT calculation with PBE was carried out for crystalline AlIrW4 at its relaxed geometry.

Unit cell a=5.226 b=5.226 c=5.226 alpha=60.00 beta=60.00 gamma=60.00
Element x y z (fractional)
Al: 0.000 0.000 0.000
Ir: 0.750 0.750 0.750
W: 0.374 0.374 0.374
W: 0.374 0.374 0.879
W: 0.374 0.879 0.374
W: 0.879 0.374 0.374

Output
The total energy comes out at -61.61 eV per cell. The value obtained for the density is 15.71 Mg/m³. As for the total magnetization: 0.00 μB per cell. The calculation puts the energy relative to the elements at 467 meV per atom.

No. 15
A plane-wave DFT calculation with PBE was carried out for crystalline AlIr2W at its relaxed geometry.

Unit cell a=5.648 b=5.648 c=11.049 alpha=90.00 beta=90.00 gamma=90.00
Element x y z (fractional)
Al: 0.000 0.000 0.000
Al: 0.000 0.500 0.250
Al: 0.500 0.000 0.750
Al: 0.500 0.500 0.500
Ir: 0.249 0.250 0.125
Ir: 0.250 0.749 0.375
Ir: 0.250 0.751 0.875
Ir: 0.251 0.250 0.625
Ir: 0.749 0.750 0.625
Ir: 0.750 0.249 0.875
Ir: 0.750 0.251 0.375
Ir: 0.751 0.750 0.125
W: 0.000 0.000 0.500
W: 0.000 0.500 0.750
W: 0.500 0.000 0.250
W: 0.500 0.500 0.000

Output
The total energy comes out at -129.07 eV per cell. The value obtained for the density is 11.22 Mg/m³. As for the total magnetization: 0.00 μB per cell. The calculation puts the energy relative to the elements at 537 meV per atom.

No. 16
A plane-wave DFT calculation with PBE was carried out for crystalline AlIrW at its relaxed geometry.

Unit cell a=4.307 b=4.307 c=2.793 alpha=90.00 beta=90.00 gamma=120.00
Element x y z (fractional)
Al: 0.000 0.000 0.000
Ir: 0.667 0.333 0.000
W: 0.333 0.667 0.500

Output
The total energy comes out at -26.40 eV per cell. The value obtained for the density is 14.91 Mg/m³. As for the total magnetization: 0.00 μB per cell. The calculation puts the energy relative to the elements at -280 meV per atom.

No. 17
A plane-wave DFT calculation with PBE was carried out for crystalline AlIr2W at its relaxed geometry.

Unit cell a=8.997 b=2.785 c=4.820 alpha=90.00 beta=100.15 gamma=90.00
Element x y z (fractional)
Al: 0.000 0.000 0.000
Al: 0.500 0.500 0.000
Ir: 0.248 0.500 0.250
Ir: 0.252 0.000 0.750
Ir: 0.748 0.000 0.250
Ir: 0.752 0.500 0.750
W: 0.000 0.500 0.500
W: 0.500 0.000 0.500

Output
The total energy comes out at -70.91 eV per cell. The value obtained for the density is 16.63 Mg/m³. As for the total magnetization: 0.00 μB per cell. The calculation puts the energy relative to the elements at -259 meV per atom.

No. 18
A plane-wave DFT calculation with PBE was carried out for crystalline AlIr2W at its relaxed geometry.

Unit cell a=6.205 b=6.205 c=6.205 alpha=90.00 beta=90.00 gamma=90.00
Element x y z (fractional)
Al: 0.000 0.000 0.000
Al: 0.000 0.500 0.500
Al: 0.500 0.000 0.500
Al: 0.500 0.500 0.000
Ir: 0.000 0.000 0.500
Ir: 0.000 0.500 0.000
Ir: 0.250 0.250 0.750
Ir: 0.250 0.750 0.250
Ir: 0.500 0.000 0.000
Ir: 0.500 0.500 0.500
Ir: 0.750 0.250 0.250
Ir: 0.750 0.750 0.750
W: 0.250 0.250 0.250
W: 0.250 0.750 0.750
W: 0.750 0.250 0.750
W: 0.750 0.750 0.250

Output
The total energy comes out at -138.34 eV per cell. The value obtained for the density is 16.55 Mg/m³. As for the total magnetization: 0.00 μB per cell. The calculation puts the energy relative to the elements at -42 meV per atom.

No. 19
A plane-wave DFT calculation with PBE was carried out for crystalline Al3IrW at its relaxed geometry.

Unit cell a=4.638 b=4.638 c=4.638 alpha=90.00 beta=90.00 gamma=90.00
Element x y z (fractional)
Al: 0.000 0.000 0.500
Al: 0.000 0.500 0.000
Al: 0.500 0.000 0.000
Ir: 0.000 0.000 0.000
W: 0.500 0.500 0.500

Output
The total energy comes out at -29.48 eV per cell. The value obtained for the density is 7.61 Mg/m³. As for the total magnetization: 3.50 μB per cell. The calculation puts the energy relative to the elements at 712 meV per atom.

No. 20
A plane-wave DFT calculation with PBE was carried out for crystalline Al4IrW at its relaxed geometry.

Unit cell a=4.988 b=4.988 c=4.988 alpha=60.00 beta=60.00 gamma=60.00
Element x y z (fractional)
Al: 0.125 0.125 0.125
Al: 0.125 0.125 0.626
Al: 0.125 0.626 0.125
Al: 0.626 0.125 0.125
Ir: 0.750 0.750 0.750
W: 0.500 0.500 0.500

Output
The total energy comes out at -36.13 eV per cell. The value obtained for the density is 9.16 Mg/m³. As for the total magnetization: 0.00 μB per cell. The calculation puts the energy relative to the elements at 109 meV per atom.